[1]
! Ac6RuI12 | Alexandria via LeMat-Bulk | PBE | optimized geometry; values from VASP
! - SG = R-3m
! - energy (eV/atom) = -3.94
! - M_tot (μB per cell) = 0.0
! - density of states at the Fermi level (states/eV/f.u.) = 5.339
&SYSTEM
  ibrav = 0, nat = 19, ntyp = 3
/
ATOMIC_SPECIES
Ac 227.00 Ac.upf
Ru 101.07 Ru.upf
I 126.90 I.upf
CELL_PARAMETERS angstrom
-3.896 6.069 6.162
-3.500 -5.503 6.889
6.330 0.658 7.035
ATOMIC_POSITIONS crystal
Ac 0.217 0.827 0.217
Ac 0.173 0.783 0.783
Ac 0.783 0.783 0.173
Ac 0.783 0.173 0.783
Ac 0.827 0.217 0.217
Ac 0.217 0.217 0.827
Ru 0.000 0.000 0.000
I 0.550 0.179 0.550
I 0.179 0.550 0.550
I 0.550 0.550 0.179
I 0.450 0.821 0.450
I 0.821 0.450 0.450
I 0.450 0.450 0.821
I 0.554 0.120 0.120
I 0.880 0.446 0.880
I 0.880 0.880 0.446
I 0.446 0.880 0.880
I 0.120 0.554 0.120
I 0.120 0.120 0.554

***

[2]
! Na3MoIr | Alexandria via LeMat-Bulk | PBE | optimized geometry; values from VASP
! - SG = Pm-3m
! - energy (eV/atom) = -3.13
! - distance to the lowest polymorph of the same formula (eV/atom) = 0.0000
! - M_tot (μB per cell) = 6.0
! - density of states at the Fermi level (states/eV/f.u.) = 3.624
! - formation enthalpy at 0 K (meV/atom) = 1602
&SYSTEM
  ibrav = 0, nat = 5, ntyp = 3
/
ATOMIC_SPECIES
Na 22.99 Na.upf
Mo 95.94 Mo.upf
Ir 192.22 Ir.upf
CELL_PARAMETERS angstrom
-3.430 -4.166 0.420
4.186 -3.421 0.262
0.064 0.491 5.390
ATOMIC_POSITIONS crystal
Na 0.000 0.500 0.000
Na 0.000 0.000 0.500
Na 0.500 0.000 0.000
Mo 0.500 0.500 0.500
Ir 0.000 0.000 0.000

***

[3]
! Pr2Ge2HIr2 | Alexandria via LeMat-Bulk | PBE | optimized geometry; values from VASP
! - SG = C2/m
! - energy (eV/atom) = -6.39
! - M_tot (μB per cell) = 0.0
! - density of states at the Fermi level (states/eV/f.u.) = 4.335
&SYSTEM
  ibrav = 0, nat = 7, ntyp = 4
/
ATOMIC_SPECIES
Pr 140.91 Pr.upf
Ge 72.64 Ge.upf
H 1.01 H.upf
Ir 192.22 Ir.upf
CELL_PARAMETERS angstrom
4.317 0.000 0.000
2.159 5.448 -0.547
2.159 1.479 5.415
ATOMIC_POSITIONS crystal
Pr 0.557 0.177 0.709
Pr 0.443 0.823 0.291
Ge 0.162 0.385 0.291
Ge 0.838 0.615 0.709
H 0.000 0.000 0.000
Ir 0.205 0.693 0.898
Ir 0.795 0.307 0.102

***

[4]
! SrCa2AgH | Alexandria via LeMat-Bulk | PBE | optimized geometry; values from VASP
! - SG = P4/mmm
! - energy (eV/atom) = -2.56
! - M_tot (μB per cell) = 0.0
! - density of states at the Fermi level (states/eV/f.u.) = 3.417
&SYSTEM
  ibrav = 0, nat = 5, ntyp = 4
/
ATOMIC_SPECIES
Sr 87.62 Sr.upf
Ca 40.08 Ca.upf
Ag 107.87 Ag.upf
H 1.01 H.upf
CELL_PARAMETERS angstrom
-1.290 -4.202 2.170
2.692 -2.502 -3.244
4.340 0.377 3.311
ATOMIC_POSITIONS crystal
Sr 0.000 0.000 0.500
Ca 0.000 0.500 0.000
Ca 0.500 0.000 0.000
Ag 0.500 0.500 0.500
H 0.000 0.000 0.000

***

[5]
! Al2TlZnPd | Alexandria via LeMat-Bulk | PBE | optimized geometry; values from VASP
! - SG = P4/mmm
! - energy (eV/atom) = -3.32
! - M_tot (μB per cell) = 0.0
! - density of states at the Fermi level (states/eV/f.u.) = 1.508
! - formation enthalpy at 0 K (meV/atom) = -59
&SYSTEM
  ibrav = 0, nat = 5, ntyp = 4
/
ATOMIC_SPECIES
Tl 204.38 Tl.upf
Zn 65.41 Zn.upf
Pd 106.42 Pd.upf
Al 26.98 Al.upf
CELL_PARAMETERS angstrom
4.785 0.000 0.000
0.000 4.932 0.000
0.000 0.000 4.785
ATOMIC_POSITIONS crystal
Tl 0.500 0.500 0.500
Zn 0.000 0.500 0.000
Pd 0.000 0.000 0.000
Al 0.000 0.000 0.500
Al 0.500 0.000 0.000

***

[6]
! Na2AlVIr | Alexandria via LeMat-Bulk | PBE | optimized geometry; values from VASP
! - SG = P4/mmm
! - energy (eV/atom) = -3.65
! - M_tot (μB per cell) = 0.4
! - density of states at the Fermi level (states/eV/f.u.) = 7.052
! - formation enthalpy at 0 K (meV/atom) = 1218
&SYSTEM
  ibrav = 0, nat = 5, ntyp = 4
/
ATOMIC_SPECIES
Na 22.99 Na.upf
Ir 192.22 Ir.upf
Al 26.98 Al.upf
V 50.94 V.upf
CELL_PARAMETERS angstrom
5.209 0.000 0.000
0.000 4.701 0.000
0.000 0.000 5.209
ATOMIC_POSITIONS crystal
Na 0.000 0.000 0.500
Na 0.500 0.000 0.000
Ir 0.000 0.000 0.000
Al 0.000 0.500 0.000
V 0.500 0.500 0.500

***

[7]
! MnCo2HW | Alexandria via LeMat-Bulk | PBE | optimized geometry; values from VASP
! - SG = P4/mmm
! - energy (eV/atom) = -7.89
! - distance to the lowest polymorph of the same formula (eV/atom) = 0.0821
! - M_tot (μB per cell) = 1.4
! - density of states at the Fermi level (states/eV/f.u.) = 3.440
&SYSTEM
  ibrav = 0, nat = 5, ntyp = 4
/
ATOMIC_SPECIES
H 1.01 H.upf
Mn 54.94 Mn.upf
Co 58.93 Co.upf
W 183.84 W.upf
CELL_PARAMETERS angstrom
-3.141 -0.823 -1.536
-0.250 -2.921 2.076
-1.865 2.080 2.701
ATOMIC_POSITIONS crystal
H 0.000 0.000 0.000
Mn 0.500 0.500 0.500
Co 0.000 0.500 0.000
Co 0.500 0.000 0.000
W 0.000 0.000 0.500

***

[8]
! Dy2Er6Th | Alexandria via LeMat-Bulk | PBE | optimized geometry; values from VASP
! - SG = P-6m2
! - energy (eV/atom) = -4.83
! - distance to the lowest polymorph of the same formula (eV/atom) = 0.0000
! - M_tot (μB per cell) = 1.1
! - density of states at the Fermi level (states/eV/f.u.) = 16.883
! - formation enthalpy at 0 K (meV/atom) = 60
&SYSTEM
  ibrav = 0, nat = 9, ntyp = 3
/
ATOMIC_SPECIES
Dy 162.50 Dy.upf
Er 167.26 Er.upf
Th 232.04 Th.upf
CELL_PARAMETERS angstrom
2.270 2.088 -1.763
-3.389 0.991 0.390
6.082 12.093 22.159
ATOMIC_POSITIONS crystal
Dy 0.333 0.667 0.328
Dy 0.333 0.667 0.672
Er 0.333 0.667 0.889
Er 0.000 0.000 0.435
Er 0.000 0.000 0.781
Er 0.000 0.000 0.219
Er 0.000 0.000 0.565
Er 0.333 0.667 0.111
Th 0.000 0.000 0.000